## BaTiC2 (PBE)

Data for a geometry-optimized BaTiC2 structure.

Computed properties:
Magnetization ... 0.00 μB/f.u.
Space-group type ... Fm-3m, No. 225
VASP energy ... -5.38 eV/atom
E above lowest polymorph ... 1155 meV per atom
DOS(E_F) ... 10.09 states/eV per cell

abc: 4.4586 4.4586 4.4586
angles: 60.00 60.00 60.00
Closest atoms and distances in Å follow each position.
Fractional coordinates of all 4 atoms:
C: 0.2500 0.2500 0.2500  4 Ba 2.73, 4 Ti 2.73
C: 0.7500 0.7500 0.7500  4 Ba 2.73, 4 Ti 2.73
Ba: 0.5000 0.5000 0.5000  8 C 2.73
Ti: 0.0000 0.0000 0.0000  8 C 2.73

---

## NaLi4Y (PBE)

Data for a geometry-optimized NaLi4Y structure.

Computed properties:
Magnetization ... 1.30 μB/f.u.
Space-group type ... F-43m, No. 216
VASP energy ... -2.42 eV/atom
DOS(E_F) ... 3.50 states/eV per cell

abc: 5.9147 5.9147 5.9147
angles: 60.00 60.00 60.00
Closest atoms and distances in Å follow each position.
Fractional coordinates of all 6 atoms:
Y: 0.2500 0.2500 0.2500  12 Li 3.47, 4 Na 3.62
Na: 0.0000 0.0000 0.0000  12 Li 3.47, 4 Y 3.62
Li: 0.6247 0.6247 0.1259  6 Li 2.95-2.96
Li: 0.6247 0.1259 0.6247  6 Li 2.95-2.96
Li: 0.6247 0.6247 0.6247  6 Li 2.95-2.96
Li: 0.1259 0.6247 0.6247  6 Li 2.95-2.96

---

## Sc2SnS (PBE)

Data for a geometry-optimized Sc2SnS structure.

Computed properties:
Magnetization ... 0.00 μB/f.u.
Space-group type ... C2/m, No. 12
VASP energy ... -6.43 eV/atom
Raw formation energy ... -4.92 eV/f.u.
E above lowest polymorph ... 8 meV per atom
DOS(E_F) ... 2.16 states/eV per cell

abc: 3.6198 3.6030 7.7071
angles: 103.69 90.00 120.15
Closest atoms and distances in Å follow each position.
Fractional coordinates of all 4 atoms:
Sc: 0.2665 0.0330 0.3012  3 S 2.55
Sc: 0.7335 0.9670 0.6988  3 S 2.55
Sn: 0.5000 0.5000 0.0000  6 Sc 3.05-3.06
S: 0.0000 0.5000 0.5000  6 Sc 2.55

---

> Which value of VASP energy does entry 1 give?

-5.38 eV/atom